A plane-wave DFT calculation with PBE was carried out for a relaxed structure of Li4PrTl5.

Geometry as POSCAR:
```
Li4PrTl5
1.0
3.5857 0.0000 0.0000
0.0000 3.5857 0.0000
0.0000 0.0000 17.8483
Li Pr Tl
4 1 5
direct
0.0000 0.0000 0.0957
0.0000 0.0000 0.2825
0.0000 0.0000 0.7175
0.0000 0.0000 0.9043
0.0000 0.0000 0.5000
0.5000 0.5000 0.0000
0.5000 0.5000 0.1897
0.5000 0.5000 0.3734
0.5000 0.5000 0.6266
0.5000 0.5000 0.8103
```

Calculated values
N(E_F): 4.38 states/eV/cell
Spin magnetization: 0.000 μB per atom
Final energy: -0.1970 Ry/atom
Energy of formation from the pure elements: -24.5 kJ/mol of atoms